(1)
# SrZrCu2, optimized geometry, DFT PBE
# Calculated formation energy (meV/atom): 472
# Fermi-level density of states (states/eV/cell): 27.775
# Density (g cm⁻³): 5.06
data_SrZrCu2
_chemical_formula_sum 'Sr4 Zr4 Cu8'
_cell_length_a 7.4832
_cell_length_b 7.4832
_cell_length_c 7.1662
_cell_angle_alpha 90.00
_cell_angle_beta 90.00
_cell_angle_gamma 90.00
_space_group_name_H-M_alt 'I -4 2 d'
_space_group_IT_number 122
_space_group_name_Hall 'I -4 2bw'
loop_
_atom_site_label
_atom_site_type_symbol
_atom_site_fract_x
_atom_site_fract_y
_atom_site_fract_z
_atom_site_occupancy
Sr1 Sr 0.0000 0.0000 0.0000 1
Zr1 Zr 0.0000 0.0000 0.5000 1
Cu1 Cu 0.2052 0.2500 0.6250 1

=====

(2)
# SrZr2Cu, optimized geometry, DFT PBE
# Calculated formation energy (meV/atom): 677
# Fermi-level density of states (states/eV/cell): 28.128
# Density (g cm⁻³): 6.09
data_SrZr2Cu
_chemical_formula_sum 'Sr4 Zr8 Cu4'
_cell_length_a 7.1392
_cell_length_b 7.1392
_cell_length_c 7.1392
_cell_angle_alpha 90.00
_cell_angle_beta 90.00
_cell_angle_gamma 90.00
_space_group_name_H-M_alt 'F m -3 m'
_space_group_IT_number 225
_space_group_name_Hall '-F 4 2 3'
loop_
_atom_site_label
_atom_site_type_symbol
_atom_site_fract_x
_atom_site_fract_y
_atom_site_fract_z
_atom_site_occupancy
Sr1 Sr 0.0000 0.0000 0.0000 1
Zr1 Zr 0.2500 0.2500 0.2500 1
Cu1 Cu 0.0000 0.0000 0.5000 1